[1]
VASP calculation (GGA-PBE) on a relaxed Pu2ZrNpN4 crystal.

Unit cell a=5.9077 b=3.4046 c=5.9190 alpha=90.00 beta=109.11 gamma=90.00
Fractional coordinates of all 8 atoms:
Pu 0.0000 0.0000 0.0000
Pu 0.5000 0.5000 0.0000
Zr 0.0000 0.5000 0.5000
Np 0.5000 0.0000 0.5000
N 0.2422 0.0000 0.7346
N 0.2486 0.5000 0.2639
N 0.7514 0.5000 0.7361
N 0.7578 0.0000 0.2654

- SG: No. 10
- Total DFT energy (no corrections): -11.782 eV/atom
- Formation energy without anion corrections: -1.350 eV/atom



[2]
VASP calculation (GGA-PBE) on a relaxed Pu3Zr2NpN6 crystal.

Unit cell a=5.8644 b=5.8644 c=5.9087 alpha=99.52 beta=99.52 gamma=120.01
Fractional coordinates of all 12 atoms:
Pu 0.0000 0.0000 0.0000
Pu 0.3315 0.6685 0.0000
Pu 0.6685 0.3315 0.0000
Zr 0.1665 0.8335 0.5000
Zr 0.8335 0.1665 0.5000
Np 0.5000 0.5000 0.5000
N 0.0888 0.4221 0.2665
N 0.2445 0.2445 0.7348
N 0.4221 0.0888 0.2665
N 0.5779 0.9112 0.7335
N 0.7555 0.7555 0.2652
N 0.9112 0.5779 0.7335

- SG: No. 12
- Total DFT energy (no corrections): -11.661 eV/atom
- Formation energy without anion corrections: -1.412 eV/atom



[3]
VASP calculation (GGA-PBE) on a relaxed PuZr2Np3N6 crystal.

Unit cell a=5.8537 b=5.8537 c=5.8753 alpha=99.55 beta=99.55 gamma=120.04
Fractional coordinates of all 12 atoms:
Pu 0.0000 0.0000 0.0000
Zr 0.3331 0.6669 0.0000
Zr 0.6669 0.3331 0.0000
Np 0.1649 0.8351 0.5000
Np 0.5000 0.5000 0.5000
Np 0.8351 0.1649 0.5000
N 0.0824 0.4286 0.2471
N 0.2652 0.2652 0.7567
N 0.4286 0.0824 0.2471
N 0.5714 0.9176 0.7529
N 0.7348 0.7348 0.2433
N 0.9176 0.5714 0.7529

- SG: No. 12
- Total DFT energy (no corrections): -11.355 eV/atom
- Formation energy without anion corrections: -1.338 eV/atom



[4]
VASP calculation (GGA-PBE) on a relaxed Pu2ZrNp3N6 crystal.

Unit cell a=5.9220 b=5.9220 c=5.9160 alpha=99.61 beta=99.61 gamma=120.01
Fractional coordinates of all 12 atoms:
Pu 0.1666 0.8334 0.0000
Pu 0.8334 0.1666 0.0000
Zr 0.5000 0.5000 0.0000
Np 0.0000 0.0000 0.5000
Np 0.3330 0.6670 0.5000
Np 0.6670 0.3330 0.5000
N 0.0955 0.4157 0.7469
N 0.2645 0.2645 0.2545
N 0.4157 0.0955 0.7469
N 0.5843 0.9045 0.2531
N 0.7355 0.7355 0.7455
N 0.9045 0.5843 0.2531

- SG: No. 12
- Total DFT energy (no corrections): -11.742 eV/atom
- Formation energy without anion corrections: -1.243 eV/atom



[5]
VASP calculation (GGA-PBE) on a relaxed RbNpN2 crystal.

Unit cell a=7.0511 b=7.0511 c=7.0511 alpha=28.97 beta=28.97 gamma=28.97
Fractional coordinates of all 4 atoms:
Rb 0.0000 0.0000 0.0000
Np 0.1698 0.1698 0.1698
N 0.5535 0.5535 0.5535
N 0.7877 0.7877 0.7877

- SG: No. 160
- Total DFT energy (no corrections): -8.340 eV/atom
- Formation energy without anion corrections: -0.700 eV/atom
- Distance to the lowest polymorph of the same formula: 27.5 meV per atom



[6]
VASP calculation (GGA-PBE) on a relaxed Rb3NpN3 crystal.

Unit cell a=3.8834 b=10.7343 c=11.4615 alpha=93.38 beta=97.01 gamma=99.70
Fractional coordinates of all 14 atoms:
Rb 0.0549 0.4382 0.2314
Rb 0.1461 0.9224 0.8593
Rb 0.2638 0.7952 0.3519
Rb 0.7362 0.2048 0.6481
Rb 0.8539 0.0776 0.1407
Rb 0.9451 0.5618 0.7686
Np 0.3762 0.2838 0.9337
Np 0.6238 0.7162 0.0663
N 0.1779 0.8098 0.0938
N 0.3515 0.3459 0.7855
N 0.4260 0.2675 0.0945
N 0.5740 0.7325 0.9055
N 0.6485 0.6541 0.2145
N 0.8221 0.1902 0.9062

- SG: No. 2
- Total DFT energy (no corrections): -6.089 eV/atom
- Formation energy without anion corrections: -0.257 eV/atom



[7]
VASP calculation (GGA-PBE) on a relaxed RbNpN2 crystal.

Unit cell a=6.9956 b=6.9956 c=6.9956 alpha=29.26 beta=29.26 gamma=29.26
Fractional coordinates of all 4 atoms:
Rb 0.0000 0.0000 0.0000
Np 0.5000 0.5000 0.5000
N 0.2164 0.2164 0.2164
N 0.7836 0.7836 0.7836

- SG: No. 166
- Total DFT energy (no corrections): -8.367 eV/atom
- Formation energy without anion corrections: -0.727 eV/atom
- Distance to the lowest polymorph of the same formula: 0.0 meV per atom



[8]
VASP calculation (GGA-PBE) on a relaxed RbNpTcN4 crystal.

Unit cell a=5.9732 b=5.9367 c=7.9630 alpha=90.00 beta=107.18 gamma=90.00
Fractional coordinates of all 14 atoms:
Rb 0.2058 0.2500 0.4313
Rb 0.7942 0.7500 0.5687
Np 0.2950 0.2500 0.9528
Np 0.7050 0.7500 0.0472
Tc 0.2411 0.7500 0.1479
Tc 0.7589 0.2500 0.8521
N 0.0178 0.7500 0.9398
N 0.0379 0.7500 0.2807
N 0.4523 0.5144 0.1598
N 0.4523 0.9856 0.1598
N 0.5477 0.0144 0.8402
N 0.5477 0.4856 0.8402
N 0.9621 0.2500 0.7193
N 0.9822 0.2500 0.0602

- SG: No. 11
- Total DFT energy (no corrections): -8.582 eV/atom
- Formation energy without anion corrections: -0.357 eV/atom



[9]
VASP calculation (GGA-PBE) on a relaxed Rb2NpUN4 crystal.

Unit cell a=6.1506 b=3.5489 c=7.0139 alpha=90.00 beta=107.12 gamma=90.00
Fractional coordinates of all 8 atoms:
Rb 0.0000 0.0000 0.0000
Rb 0.5000 0.5000 0.0000
Np 0.0000 0.5000 0.5000
U 0.5000 0.0000 0.5000
N 0.2223 0.0000 0.6483
N 0.2912 0.5000 0.3492
N 0.7088 0.5000 0.6508
N 0.7777 0.0000 0.3517

- SG: No. 10
- Total DFT energy (no corrections): -8.263 eV/atom
- Formation energy without anion corrections: -0.830 eV/atom



[10]
VASP calculation (GGA-PBE) on a relaxed RbNpWN4 crystal.

Unit cell a=5.9347 b=5.9815 c=7.7977 alpha=90.00 beta=104.09 gamma=90.00
Fractional coordinates of all 14 atoms:
Rb 0.1443 0.2500 0.1017
Rb 0.8557 0.7500 0.8983
Np 0.1766 0.7500 0.4633
Np 0.8234 0.2500 0.5367
W 0.3691 0.2500 0.6620
W 0.6309 0.7500 0.3380
N 0.1561 0.0123 0.6639
N 0.1561 0.4877 0.6639
N 0.3087 0.7500 0.2254
N 0.4379 0.2500 0.4449
N 0.5621 0.7500 0.5551
N 0.6913 0.2500 0.7746
N 0.8439 0.5123 0.3361
N 0.8439 0.9877 0.3361

- SG: No. 11
- Total DFT energy (no corrections): -9.115 eV/atom
- Formation energy without anion corrections: -0.520 eV/atom



[11]
VASP calculation (GGA-PBE) on a relaxed RbNpZnN3 crystal.

Unit cell a=7.3581 b=3.5454 c=9.1895 alpha=90.00 beta=112.92 gamma=90.00
Fractional coordinates of all 12 atoms:
Rb 0.1706 0.2500 0.2166
Rb 0.8294 0.7500 0.7834
Np 0.3630 0.2500 0.8297
Np 0.6370 0.7500 0.1703
Zn 0.1389 0.7500 0.5632
Zn 0.8611 0.2500 0.4368
N 0.0631 0.2500 0.6617
N 0.3444 0.7500 0.9761
N 0.4176 0.7500 0.7146
N 0.5824 0.2500 0.2854
N 0.6556 0.2500 0.0239
N 0.9369 0.7500 0.3383

- SG: No. 11
- Total DFT energy (no corrections): -7.165 eV/atom
- Formation energy without anion corrections: -0.472 eV/atom



[12]
VASP calculation (GGA-PBE) on a relaxed Np3ReN7 crystal.

Unit cell a=6.3588 b=6.3588 c=7.3524 alpha=90.00 beta=90.00 gamma=109.11
Fractional coordinates of all 22 atoms:
Np 0.0147 0.0147 0.0000
Np 0.0363 0.4987 0.2581
Np 0.4987 0.0363 0.7419
Np 0.5013 0.9637 0.2419
Np 0.9637 0.5013 0.7581
Np 0.9853 0.9853 0.5000
Re 0.4795 0.4795 0.5000
Re 0.5205 0.5205 0.0000
N 0.1272 0.8728 0.7500
N 0.1439 0.8561 0.2500
N 0.1527 0.4083 0.9786
N 0.1738 0.4302 0.5452
N 0.4083 0.1527 0.0214
N 0.4302 0.1738 0.4548
N 0.4344 0.5656 0.2500
N 0.5656 0.4344 0.7500
N 0.5698 0.8262 0.9548
N 0.5917 0.8473 0.5214
N 0.8262 0.5698 0.0452
N 0.8473 0.5917 0.4786
N 0.8561 0.1439 0.7500
N 0.8728 0.1272 0.2500

- SG: No. 20
- Total DFT energy (no corrections): -10.680 eV/atom
- Formation energy without anion corrections: -0.722 eV/atom